(1)
# K2CuBr

K2CuBr after structural relaxation (PBE, the Alexandria database).

Results
**Energy above the lowest structure with this stoichiometry**: 34 meV/atom
**SG**: P4/mmm, No. 123
**Total magnetization**: 0.0 Bohr magnetons per cell
**Formation energy (no corrections)**: -0.567 eV/atom

Structure (POSCAR):
```
K2CuBr
1.0
5.7250 0.0000 0.0000
0.0000 5.7293 0.0000
0.0000 0.0000 4.0061
Br Cu K
1 1 2
direct
0.5000 0.0000 0.5000 Br
0.0000 0.5000 0.5000 Cu
0.0000 0.0000 0.0000 K
0.5000 0.5000 0.0000 K
```


(2)
# SiAs3Pb

SiAs3Pb after structural relaxation (PBE, the Alexandria database).

Results
**SG**: Pm-3m, No. 221
**Total magnetization**: 0.0 Bohr magnetons per cell
**Formation energy (no corrections)**: 0.421 eV/atom

Structure (POSCAR):
```
SiAs3Pb
1.0
-4.3148 1.2373 -1.9089
-1.3265 -4.6937 -0.0439
-1.8480 0.4803 4.4885
Pb As Si
1 3 1
direct
0.5000 0.5000 0.5000 Pb
0.0000 0.5000 0.0000 As
0.0000 0.0000 0.5000 As
0.5000 0.0000 0.0000 As
0.0000 0.0000 0.0000 Si
```


(3)
# BeBP

BeBP after structural relaxation (PBE, the Alexandria database).

Results
**Energy above the lowest structure with this stoichiometry**: 93 meV/atom
**SG**: P1, No. 1
**Total magnetization**: 0.0 Bohr magnetons per cell

Structure (POSCAR):
```
BeBP
1.0
-0.3011 1.5886 3.0781
-4.0055 -1.5410 1.5558
1.9338 -3.0511 2.8727
P B Be
2 2 2
direct
0.3977 0.9760 0.1995 P
0.8428 0.5065 0.6656 P
0.2224 0.4057 0.2946 B
0.3528 0.6648 0.5040 B
0.0260 0.7529 0.0021 Be
0.8151 0.3189 0.1124 Be
```


(4)
# Ca4Nd2Bi3O2

Ca4Nd2Bi3O2 after structural relaxation (PBE, the Alexandria database).

Results
**SG**: I4/mmm, No. 139
**Total magnetization**: 0.0 Bohr magnetons per cell
**Formation energy (no corrections)**: -1.618 eV/atom

Structure (POSCAR):
```
Ca4Nd2Bi3O2
1.0
-0.0873 -3.8817 -2.7401
-0.0236 -2.7401 3.8826
-12.9760 3.5440 -0.4861
Ca Nd Bi O
4 2 3 2
direct
0.4167 0.9167 0.8333 Ca
0.9167 0.4167 0.8333 Ca
0.0833 0.5833 0.1667 Ca
0.5833 0.0833 0.1667 Ca
0.3076 0.3076 0.6152 Nd
0.6924 0.6924 0.3848 Nd
0.0000 0.0000 0.0000 Bi
0.1787 0.1787 0.3574 Bi
0.8213 0.8213 0.6426 Bi
0.3984 0.3984 0.7969 O
0.6016 0.6016 0.2031 O
```


(5)
# Pm7DyMg4

Pm7DyMg4 after structural relaxation (PBE, the Alexandria database).

Results
**SG**: C2/m, No. 12
**Total magnetization**: 0.0 Bohr magnetons per cell
**Energy**: -3.55 eV per atom

Structure (POSCAR):
```
Pm7DyMg4
1.0
-1.0966 1.5199 5.5261
0.6992 -7.5481 5.2956
6.9095 -0.0136 4.4557
Pm Dy Mg
7 1 4
direct
0.8026 0.8776 0.5172 Pm
0.1974 0.1224 0.4828 Pm
0.0819 0.5737 0.2624 Pm
0.9181 0.4263 0.7376 Pm
0.2523 0.7123 0.7832 Pm
0.5000 0.0000 0.0000 Pm
0.7477 0.2877 0.2168 Pm
0.0000 0.0000 0.0000 Dy
0.5390 0.3055 0.6165 Mg
0.4610 0.6945 0.3835 Mg
0.6745 0.6551 0.9959 Mg
0.3255 0.3449 0.0041 Mg
```


(6)
# Ru2RhCl2

Ru2RhCl2 after structural relaxation (PBE, the Alexandria database).

Results
**Energy above the lowest structure with this stoichiometry**: 75 meV/atom
**SG**: P4/mbm, No. 127
**Total magnetization**: 0.0 Bohr magnetons per cell
**Formation energy (no corrections)**: 0.971 eV/atom

Structure (POSCAR):
```
Ru2RhCl2
1.0
7.2878 0.0000 0.0000
0.0000 7.2878 0.0000
0.0000 0.0000 2.8470
Ru Rh Cl
4 2 4
direct
0.1821 0.6821 0.5000 Ru
0.6821 0.8179 0.5000 Ru
0.8179 0.3179 0.5000 Ru
0.3179 0.1821 0.5000 Ru
0.0000 0.0000 0.0000 Rh
0.5000 0.5000 0.0000 Rh
0.3641 0.8641 0.0000 Cl
0.8641 0.6359 0.0000 Cl
0.6359 0.1359 0.0000 Cl
0.1359 0.3641 0.0000 Cl
```